Record 1
SnPt2Rh: optimized geometry, GGA-PBE.

## Properties
Energy of formation from the pure elements = -1.20 eV/f.u.
Crystal system = tetragonal

a b c (Å): 4.1256 4.1256 7.6976
angles (deg): 90.00 90.00 90.00
Last column: nearest neighbours and their distance in Å.
Space group I-4m2 (No. 119)
Asymmetric unit:
Sn 0.0000 0.0000 0.0000 x2  4 Rh 2.82, 8 Pt 2.82-2.92
Pt 0.0000 0.0000 0.5000 x2  4 Rh 2.82, 4 Pt 2.82, 4 Sn 2.92
Pt 0.0000 0.5000 0.2500 x2  4 Sn 2.82, 4 Pt 2.82, 4 Rh 2.92
Rh 0.0000 0.5000 0.7500 x2  4 Sn 2.82, 8 Pt 2.82-2.92

=====

Record 2
InAgTe2: optimized geometry, GGA-PBE.

## Properties
Uncorrected formation energy = -1.11 eV per formula unit
Crystal system = tetragonal

a b c (Å): 4.5992 4.5992 6.6075
angles (deg): 90.00 90.00 90.00
Last column: nearest neighbours and their distance in Å.
Space group P-4m2 (No. 115)
Asymmetric unit:
In 0.0000 0.0000 0.0000 x1  4 Te 2.86
Ag 0.5000 0.5000 0.5000 x1  4 Te 2.80
Te 0.0000 0.5000 0.2583 x2  2 Ag 2.80, 2 In 2.86

=====

no.,N(E_F) (states/eV per cell),volume (A^3/atom)
1,9.744,16.38
2,0.361,34.94